(1)
This record from Alexandria via LeMat-Bulk describes Tl3IrBr6 after structural relaxation. The functional is PBE.

POSCAR file:
```
Tl3IrBr6
1.0
7.437 -0.152 0.000
-1.306 7.323 0.000
-3.066 -3.586 6.684
Tl Br Ir
3 6 1
Cartesian
3.066 3.586 0.000
3.719 -0.076 3.342
-0.653 3.662 3.342
5.510 1.496 0.000
0.621 5.676 0.000
4.979 5.824 1.762
1.914 2.238 4.922
1.152 1.347 1.762
-1.914 -2.238 4.922
0.000 0.000 0.000
```

Calculated values
- Polymorph energy (0 for the lowest one): 43 meV/atom
- Theoretical density: 5.9 g/cm3
- ΔE_f (raw): -0.55 eV per atom
- DFT total energy: -31.53 eV per cell
- Spin magnetization: 0.0 μB per formula unit



(2)
This record from Alexandria via LeMat-Bulk describes TlIr2Br after structural relaxation. The functional is PBE.

POSCAR file:
```
TlIr2Br
1.0
3.082 0.000 0.000
0.000 3.082 0.000
0.000 0.000 7.604
Tl Ir Br
1 2 1
Cartesian
1.541 1.541 1.901
0.000 0.000 3.832
0.000 0.000 7.575
1.541 1.541 5.703
```

Calculated values
- Polymorph energy (0 for the lowest one): 614 meV/atom
- Theoretical density: 15.4 g/cm3
- ΔE_f (raw): 1.02 eV per atom
- DFT total energy: -17.69 eV per cell
- Spin magnetization: 0.0 μB per formula unit